w:
The following is a PBE calculation of Mg2CrSb after structural relaxation, from Alexandria via LeMat-Bulk. Values from VASP.

Geometry as Quantum ESPRESSO input:
```
&SYSTEM
  ibrav = 0, nat = 4, ntyp = 3
/
ATOMIC_SPECIES
Mg 24.30 Mg.upf
Cr 52.00 Cr.upf
Sb 121.76 Sb.upf
CELL_PARAMETERS angstrom
-2.109 2.109 4.649
2.109 -2.109 4.649
2.109 2.109 -4.649
ATOMIC_POSITIONS angstrom
Mg 2.109 0.000 2.324
Mg 0.000 2.109 2.324
Cr 0.000 0.000 0.000
Sb 0.000 0.000 4.649
```

---

x:
The following is a PBE calculation of Mg2CrSb after structural relaxation, from Alexandria via LeMat-Bulk. Values from VASP.

Geometry as Quantum ESPRESSO input:
```
&SYSTEM
  ibrav = 0, nat = 8, ntyp = 3
/
ATOMIC_SPECIES
Mg 24.30 Mg.upf
Cr 52.00 Cr.upf
Sb 121.76 Sb.upf
CELL_PARAMETERS angstrom
-4.041 4.041 2.871
4.041 -4.041 2.871
4.041 4.041 -2.871
ATOMIC_POSITIONS angstrom
Mg 6.061 1.977 -0.718
Mg 1.977 2.020 0.718
Mg -2.020 2.064 2.153
Mg 2.064 2.020 3.589
Cr 4.041 0.000 1.436
Cr 0.000 0.000 2.871
Sb 0.000 0.000 0.000
Sb 0.000 4.041 1.436
```

---

The most stable arrangement is w, and the next structure is 0.284 eV/atom less stable.

---

w:
The following is a PBE calculation of MgCrSb2 after structural relaxation, from Alexandria via LeMat-Bulk. Values from VASP.

Geometry as Quantum ESPRESSO input:
```
&SYSTEM
  ibrav = 0, nat = 4, ntyp = 3
/
ATOMIC_SPECIES
Mg 24.30 Mg.upf
Cr 52.00 Cr.upf
Sb 121.76 Sb.upf
CELL_PARAMETERS angstrom
5.318 -1.920 0.000
5.318 1.920 0.000
-0.765 0.000 4.391
ATOMIC_POSITIONS angstrom
Mg 0.000 0.000 0.000
Cr 8.232 0.000 1.908
Sb 2.132 0.000 4.007
Sb 5.312 0.000 2.222
```

---

x:
The following is a PBE calculation of MgCrSb2 after structural relaxation, from Alexandria via LeMat-Bulk. Values from VASP.

Geometry as Quantum ESPRESSO input:
```
&SYSTEM
  ibrav = 0, nat = 4, ntyp = 3
/
ATOMIC_SPECIES
Mg 24.30 Mg.upf
Cr 52.00 Cr.upf
Sb 121.76 Sb.upf
CELL_PARAMETERS angstrom
-1.623 2.059 7.084
1.623 -2.059 7.084
1.623 2.059 -7.084
ATOMIC_POSITIONS angstrom
Mg 0.000 0.000 0.000
Cr 0.000 2.059 3.826
Sb 1.623 0.000 4.858
Sb 0.000 0.000 8.632
```

---

y:
The following is a PBE calculation of MgCrSb2 after structural relaxation, from Alexandria via LeMat-Bulk. Values from VASP.

Geometry as Quantum ESPRESSO input:
```
&SYSTEM
  ibrav = 0, nat = 4, ntyp = 3
/
ATOMIC_SPECIES
Mg 24.30 Mg.upf
Cr 52.00 Cr.upf
Sb 121.76 Sb.upf
CELL_PARAMETERS angstrom
3.146 0.000 0.000
0.000 3.146 0.000
0.000 0.000 9.653
ATOMIC_POSITIONS angstrom
Mg 0.000 0.000 0.000
Cr 1.573 1.573 7.594
Sb 0.000 0.000 5.749
Sb 1.573 1.573 2.279
```

---

The most stable arrangement is x, and the next structure is 0.026 eV/atom less stable.

---

w:
The following is a PBE calculation of MgCrSb2 after structural relaxation, from Alexandria via LeMat-Bulk. Values from VASP.

Geometry as Quantum ESPRESSO input:
```
&SYSTEM
  ibrav = 0, nat = 8, ntyp = 3
/
ATOMIC_SPECIES
Mg 24.30 Mg.upf
Cr 52.00 Cr.upf
Sb 121.76 Sb.upf
CELL_PARAMETERS angstrom
-3.134 3.134 6.390
3.134 -3.134 6.390
3.134 3.134 -6.390
ATOMIC_POSITIONS angstrom
Mg 0.000 0.000 0.000
Mg 0.000 3.134 3.195
Cr 3.134 0.000 3.195
Cr 0.000 0.000 6.390
Sb 1.567 -1.311 4.793
Sb 1.823 1.567 1.598
Sb 1.567 4.444 -1.598
Sb 1.311 1.567 7.988
```

---

x:
The following is a PBE calculation of MgCrSb2 after structural relaxation, from Alexandria via LeMat-Bulk. Values from VASP.

Geometry as Quantum ESPRESSO input:
```
&SYSTEM
  ibrav = 0, nat = 4, ntyp = 3
/
ATOMIC_SPECIES
Mg 24.30 Mg.upf
Cr 52.00 Cr.upf
Sb 121.76 Sb.upf
CELL_PARAMETERS angstrom
4.369 0.000 0.000
0.000 3.944 0.000
-2.127 0.000 5.399
ATOMIC_POSITIONS angstrom
Mg 0.000 0.000 0.000
Cr 1.121 1.972 2.699
Sb -1.063 0.000 2.699
Sb 2.185 1.972 0.000
```

---

y:
The following is a PBE calculation of MgCrSb2 after structural relaxation, from Alexandria via LeMat-Bulk. Values from VASP.

Geometry as Quantum ESPRESSO input:
```
&SYSTEM
  ibrav = 0, nat = 4, ntyp = 3
/
ATOMIC_SPECIES
Mg 24.30 Mg.upf
Cr 52.00 Cr.upf
Sb 121.76 Sb.upf
CELL_PARAMETERS angstrom
4.695 0.000 0.000
0.000 4.695 0.000
0.000 0.000 4.061
ATOMIC_POSITIONS angstrom
Mg 0.000 0.000 0.000
Cr 2.348 2.348 0.000
Sb 0.000 2.348 2.031
Sb 2.348 0.000 2.031
```

---

z:
The following is a PBE calculation of MgCrSb2 after structural relaxation, from Alexandria via LeMat-Bulk. Values from VASP.

Geometry as Quantum ESPRESSO input:
```
&SYSTEM
  ibrav = 0, nat = 4, ntyp = 3
/
ATOMIC_SPECIES
Mg 24.30 Mg.upf
Cr 52.00 Cr.upf
Sb 121.76 Sb.upf
CELL_PARAMETERS angstrom
0.000 3.411 3.411
3.411 0.000 3.411
3.411 3.411 0.000
ATOMIC_POSITIONS angstrom
Mg 0.000 0.000 0.000
Cr 3.411 3.411 3.411
Sb 1.706 1.706 1.706
Sb 5.117 5.117 5.117
```

---

The most stable arrangement is x, and the next structure is 0.022 eV/atom less stable.